Compound: OsRhO
Source: Alexandria
Functional: PBE
Structure: relaxed

Calculated values
- Calculated density: 13.67 Mg/m³
- Electronic total energy: -7.92 eV/atom
- Formation energy without anion corrections: -0.070 eV/atom
- Total magnetic moment: 0.5 μB per cell

Structure (POSCAR):
```
OsRhO
1.0
-1.195 2.418 -0.103
-1.031 -1.942 1.725
6.836 3.729 8.287
Os O Rh
2 2 2
Cartesian
3.305 3.419 6.580
0.639 1.964 3.348
0.405 0.295 2.223
4.885 2.739 7.653
-0.774 -0.348 0.795
2.007 1.230 5.593
```